No. 1
Here is a relaxed MnCrAs4 crystal from the Alexandria database. Energies are from GGA-PBE.

Computed properties:
Energy of formation: -0.043 eV per atom
Energy above the most stable polymorph in this dataset: 0 meV/atom

Cell: 6.6437 6.6437 6.6437 Å, 102.31 102.31 125.01°
Last column: nearest neighbours and their distance in Å.
Sites, in units of the cell vectors:
Mn 0.0000 0.0000 0.0000  6 As 2.36-2.37
Mn 0.7500 0.2500 0.5000  6 As 2.36-2.37
Cr 0.2487 0.7487 0.5000  6 As 2.36-2.37
Cr 0.4987 0.4987 0.0000  6 As 2.36-2.37
As 0.0005 0.2841 0.2836  1 Cr 2.36, 2 Mn 2.36-2.37
As 0.0005 0.7169 0.7164  1 Cr 2.36, 2 Mn 2.36-2.37
As 0.0341 0.2505 0.7836  1 Cr 2.36, 2 Mn 2.36-2.37
As 0.4669 0.2505 0.2164  1 Cr 2.36, 2 Mn 2.36-2.37
As 0.5003 0.2159 0.7156  1 Mn 2.36, 2 Cr 2.37
As 0.5003 0.7846 0.2844  1 Mn 2.36, 2 Cr 2.37
As 0.5346 0.7503 0.7844  1 Mn 2.36, 2 Cr 2.37
As 0.9659 0.7503 0.2156  1 Mn 2.36, 2 Cr 2.37



No. 2
Here is a relaxed K2AlW crystal from the Alexandria database. Energies are from GGA-PBE.

Computed properties:
Energy of formation: 0.896 eV per atom

Cell: 9.1423 2.8672 10.1109 Å, 90.00 92.25 90.00°
Last column: nearest neighbours and their distance in Å.
Sites, in units of the cell vectors:
K 0.0000 0.0000 0.0000  2 K 2.87
K 0.2374 0.0000 0.5784  2 K 2.87
K 0.5000 0.5000 0.0000  2 K 2.87
K 0.7374 0.5000 0.5784  2 K 2.87
Al 0.4914 0.0000 0.3303  3 W 2.59-2.65, 2 Al 2.87
Al 0.9914 0.5000 0.3303  3 W 2.59-2.65, 2 Al 2.87
W 0.2594 0.5000 0.2551  3 Al 2.59-2.65, 2 W 2.87
W 0.7594 0.0000 0.2551  3 Al 2.59-2.65, 2 W 2.87



No. 3
Here is a relaxed LiSnSbPd crystal from the Alexandria database. Energies are from GGA-PBE.

Computed properties:
Uncorrected formation energy: -0.355 eV/atom

Cell: 6.8386 6.8386 6.8386 Å, 90.00 90.00 90.00°
Last column: nearest neighbours and their distance in Å.
Sites, in units of the cell vectors:
Li 0.0000 0.0000 0.0000  4 Sb 2.96, 4 Sn 2.96
Li 0.0000 0.5000 0.5000  4 Sb 2.96, 4 Sn 2.96
Li 0.5000 0.0000 0.5000  4 Sb 2.96, 4 Sn 2.96
Li 0.5000 0.5000 0.0000  4 Sb 2.96, 4 Sn 2.96
Sn 0.2500 0.2500 0.2500  4 Li 2.96, 4 Pd 2.96
Sn 0.2500 0.7500 0.7500  4 Li 2.96, 4 Pd 2.96
Sn 0.7500 0.2500 0.7500  4 Li 2.96, 4 Pd 2.96
Sn 0.7500 0.7500 0.2500  4 Li 2.96, 4 Pd 2.96
Sb 0.2500 0.2500 0.7500  4 Li 2.96, 4 Pd 2.96
Sb 0.2500 0.7500 0.2500  4 Pd 2.96, 4 Li 2.96
Sb 0.7500 0.2500 0.2500  4 Pd 2.96, 4 Li 2.96
Sb 0.7500 0.7500 0.7500  4 Pd 2.96, 4 Li 2.96
Pd 0.0000 0.0000 0.5000  4 Sn 2.96, 4 Sb 2.96
Pd 0.0000 0.5000 0.0000  4 Sn 2.96, 4 Sb 2.96
Pd 0.5000 0.0000 0.0000  4 Sn 2.96, 4 Sb 2.96
Pd 0.5000 0.5000 0.5000  4 Sn 2.96, 4 Sb 2.96



No. 4
Here is a relaxed CeSm2Se3 crystal from the Alexandria database. Energies are from GGA-PBE.

Computed properties:
Uncorrected formation energy: -1.824 eV/atom

Cell: 4.1688 5.9163 12.5872 Å, 90.00 90.00 90.00°
Last column: nearest neighbours and their distance in Å.
Sites, in units of the cell vectors:
Ce 0.0000 0.0000 0.0000  6 Se 2.96
Ce 0.5000 0.5000 0.5000  6 Se 2.96
Sm 0.0000 0.0000 0.3321  6 Se 2.94-2.97
Sm 0.0000 0.0000 0.6679  6 Se 2.94-2.97
Sm 0.5000 0.5000 0.1679  6 Se 2.94-2.97
Sm 0.5000 0.5000 0.8321  6 Se 2.94-2.97
Se 0.0000 0.5000 0.0000  2 Ce 2.96, 4 Sm 2.97
Se 0.0000 0.5000 0.3327  4 Sm 2.94-2.96, 2 Ce 2.96
Se 0.0000 0.5000 0.6673  4 Sm 2.94-2.96, 2 Ce 2.96
Se 0.5000 0.0000 0.1673  4 Sm 2.94-2.96, 2 Ce 2.96
Se 0.5000 0.0000 0.5000  2 Ce 2.96, 4 Sm 2.97
Se 0.5000 0.0000 0.8327  4 Sm 2.94-2.96, 2 Ce 2.96



| no. | Fermi-level density of states (states/eV per cell) | final energy (eV per atom) |
| --- | --- | --- |
| 1 | 5.76 | -6.27 |
| 2 | 7.45 | -3.83 |
| 3 | 8.95 | -4.16 |
| 4 | 14.75 | -6.13 |